Below is a relaxed Rb5InMo4O16 crystal, with properties calculated at the PBEsol level.

abc: 7.9561 11.0407 11.4275
angles: 113.85 90.00 90.00
Fractional coordinates of all 52 atoms:
Rb1 0.6576 0.8453 0.8934
Rb2 0.3424 0.1547 0.1066
Rb3 0.6576 0.6547 0.1066
Rb4 0.3424 0.3453 0.8934
Rb5 0.1319 0.3569 0.4102
Rb6 0.8681 0.6431 0.5898
Rb7 0.1319 0.1431 0.5898
Rb8 0.8681 0.8569 0.4102
Rb9 0.3865 0.7500 0.5000
Rb10 0.6135 0.2500 0.5000
In1 0.0841 0.7500 0.0000
In2 0.9159 0.2500 0.0000
Mo1 0.3402 0.5572 0.7171
Mo2 0.6598 0.4428 0.2829
Mo3 0.3402 0.9428 0.2829
Mo4 0.6598 0.0572 0.7171
Mo5 0.1488 0.9433 0.8042
Mo6 0.8512 0.0567 0.1958
Mo7 0.1488 0.5567 0.1958
Mo8 0.8512 0.4433 0.8042
O1 0.1137 0.1188 0.8874
O2 0.8863 0.8812 0.1126
O3 0.1137 0.3812 0.1126
O4 0.8863 0.6188 0.8874
O5 0.2758 0.6213 0.8847
O6 0.7242 0.3787 0.1153
O7 0.2758 0.8787 0.1153
O8 0.7242 0.1213 0.8847
O9 0.0934 0.8946 0.6442
O10 0.9066 0.1054 0.3558
O11 0.0934 0.6054 0.3558
O12 0.9066 0.3946 0.6442
O13 0.5450 0.6056 0.6974
O14 0.4550 0.3944 0.3026
O15 0.5450 0.8944 0.3026
O16 0.4550 0.1056 0.6974
O17 0.0296 0.8510 0.8738
O18 0.9704 0.1490 0.1262
O19 0.0296 0.6490 0.1262
O20 0.9704 0.3510 0.8738
O21 0.3605 0.9159 0.8199
O22 0.6395 0.0841 0.1801
O23 0.3605 0.5841 0.1801
O24 0.6395 0.4159 0.8199
O25 0.6757 0.8838 0.6500
O26 0.3243 0.1162 0.3500
O27 0.6757 0.6162 0.3500
O28 0.3243 0.3838 0.6500
O29 0.2069 0.6132 0.6284
O30 0.7931 0.3868 0.3716
O31 0.2069 0.8868 0.3716
O32 0.7931 0.1132 0.6284

Properties
uncorrected formation energy = -5151.5 kJ/mol of formula units
ρ = 4.28 g/cm3
raw total energy = -7.41 eV per atom